Entry 1:
# Tl2InFe (PBE, relaxed)
data_Tl2InFe
_chemical_formula_sum 'Tl2 In1 Fe1'
_cell_length_a 3.187
_cell_length_b 3.187
_cell_length_c 9.349
_cell_angle_alpha 90.00
_cell_angle_beta 90.00
_cell_angle_gamma 90.00
_symmetry_space_group_name_H-M 'P 4 m m'
_symmetry_Int_Tables_number 99
loop_
_symmetry_equiv_pos_as_xyz
'x,y,z'
'-y,x,z'
'-x,-y,z'
'y,-x,z'
'-x,y,z'
'y,x,z'
'x,-y,z'
'-y,-x,z'
loop_
_atom_site_label
_atom_site_fract_x
_atom_site_fract_y
_atom_site_fract_z
Tl1 0.000 0.000 0.000
Tl2 0.500 0.500 0.315
In1 0.500 0.500 0.705
Fe1 0.000 0.000 0.524
# total magnetization = 2.5 μB per formula unit
# energy of formation = 0.338 eV per atom
# offset from the most stable computed form = 0.12 eV/f.u.
# density of states at the Fermi level = 4.7 states/eV/cell

Entry 2:
# Y2HgAs2 (PBE, relaxed)
data_Y2HgAs2
_chemical_formula_sum 'Y4 Hg2 As4'
_cell_length_a 8.092
_cell_length_b 8.092
_cell_length_c 3.738
_cell_angle_alpha 90.00
_cell_angle_beta 90.00
_cell_angle_gamma 90.00
_symmetry_space_group_name_H-M 'P 4/m b m'
_symmetry_Int_Tables_number 127
_symmetry_space_group_name_Hall '-P 4 2ab'
loop_
_atom_site_label
_atom_site_fract_x
_atom_site_fract_y
_atom_site_fract_z
Y1 0.148 0.352 0.000
Hg1 0.000 0.000 0.000
As1 0.154 0.654 0.500
# total magnetization = 0.0 μB per formula unit
# energy of formation = -0.949 eV per atom
# density of states at the Fermi level = 0.6 states/eV/cell